(1)
SnHg3H2: relaxed, PBE.

## Properties
VASP energy, eV/atom: -1.744

Lattice parameters (Å, degrees): 8.055 7.833 10.056 90.00 109.90 90.00
Space group C2/c (No. 15)
One atom of each set of equivalent atoms:
Sn 0.000 0.055 0.250 (multiplicity 4)
Hg 0.000 0.388 0.750 (multiplicity 4)
Hg 0.179 0.411 0.061 (multiplicity 8)
H 0.058 0.210 0.137 (multiplicity 8)

---

(2)
SnHg2H2: relaxed, PBE.

## Properties
E above lowest polymorph, meV per atom: 409

Lattice parameters (Å, degrees): 7.663 7.663 3.060 90.00 90.00 90.00
Space group P4/mbm (No. 127)
One atom of each set of equivalent atoms:
Sn 0.000 0.000 0.000 (multiplicity 2)
Hg 0.137 0.363 0.000 (multiplicity 4)
H 0.108 0.608 0.500 (multiplicity 4)

---

(3)
Sn4HgH3: relaxed, PBE.

## Properties
VASP energy, eV/atom: -3.061

Lattice parameters (Å, degrees): 6.938 6.967 7.900 81.23 79.97 62.42
Space group P-1 (No. 2)
One atom of each set of equivalent atoms:
Sn 0.047 0.170 0.365 (multiplicity 2)
Sn 0.143 0.664 0.168 (multiplicity 2)
Sn 0.294 0.009 0.955 (multiplicity 2)
Sn 0.397 0.639 0.745 (multiplicity 2)
Hg 0.470 0.187 0.620 (multiplicity 2)
H 0.008 0.699 0.430 (multiplicity 2)
H 0.090 0.407 0.236 (multiplicity 2)
H 0.272 0.513 0.942 (multiplicity 2)

---

(4)
SnHgH2: relaxed, PBE.

## Properties
E above lowest polymorph, meV per atom: 0

Lattice parameters (Å, degrees): 4.750 4.750 12.551 90.00 90.00 90.00
Space group I-42d (No. 122)
One atom of each set of equivalent atoms:
Sn 0.000 0.000 0.000 (multiplicity 4)
Hg 0.000 0.000 0.500 (multiplicity 4)
H 0.004 0.250 0.125 (multiplicity 8)

---

(5)
SnHg2H: relaxed, PBE.

## Properties
E above lowest polymorph, meV per atom: 157

Lattice parameters (Å, degrees): 5.312 5.312 12.867 90.00 90.00 90.00
Space group I-42d (No. 122)
One atom of each set of equivalent atoms:
Sn 0.000 0.000 0.000 (multiplicity 4)
Hg 0.127 0.250 0.625 (multiplicity 8)
H 0.000 0.000 0.500 (multiplicity 4)

---

(6)
SnHg3H: relaxed, PBE.

## Properties
E above lowest polymorph, meV per atom: 205

Lattice parameters (Å, degrees): 4.755 4.755 4.755 90.00 90.00 90.00
Space group Pm-3m (No. 221)
One atom of each set of equivalent atoms:
Sn 0.000 0.000 0.000 (multiplicity 1)
Hg 0.000 0.500 0.500 (multiplicity 3)
H 0.500 0.500 0.500 (multiplicity 1)

---

Computed size of the total moment, in the same sequence as the records: 0.00; 0.06; 0.00; 0.00; 0.00; 0.00 μB per atom.
Computed ρ, in the same sequence as the records: 8.04; 9.65; 6.78; 7.54; 9.53; 11.14 g/cm³.